Crystalline MnBi2TeH at its relaxed geometry, computed with GGA-PBE.

Cell and atoms, written as CIF:
```
data_MnBi2TeH
_chemical_formula_sum 'Mn1 Bi2 Te1 H1'
_cell_length_a 6.047
_cell_length_b 6.047
_cell_length_c 3.718
_cell_angle_alpha 90.00
_cell_angle_beta 90.00
_cell_angle_gamma 90.00
_space_group_name_H-M_alt 'P 4/m m m'
_space_group_IT_number 123
_space_group_name_Hall '-P 4 2'
loop_
_atom_site_label
_atom_site_type_symbol
_atom_site_fract_x
_atom_site_fract_y
_atom_site_fract_z
Mn1 Mn 0.000 0.000 0.000
Bi1 Bi 0.000 0.500 0.500
Te1 Te 0.500 0.500 0.500
H1 H 0.500 0.500 0.000
```

Properties
VASP energy in eV per cell: -20.60
Fermi-level density of states in states/eV/f.u.: 2.8